(1)
This record from OQMD via LeMat-Bulk describes an optimized crystal structure of MgCoSnW. The functional is PBE.

The structure in extended XYZ format:
```
4
Lattice="3.699 -2.520 0.523 0.161 -3.118 3.250 -0.086 -4.377 -1.070" Properties=species:S:1:pos:R:3 pbc="T T T"
Co 2.831 -7.511 2.027
W 1.887 -5.007 1.352
Mg 0.944 -2.504 0.676
Sn 0.000 0.000 0.000
```

Output
**Symmetry**: F-43m
**Magnetization**: 3.004 μB/cell
**Total DFT energy (no corrections)**: -5.86 eV/atom

(2)
This record from OQMD via LeMat-Bulk describes an optimized crystal structure of MgCoSnW. The functional is PBE.

The structure in extended XYZ format:
```
4
Lattice="3.399 1.670 2.473 -0.792 1.562 4.171 1.516 -2.286 3.597" Properties=species:S:1:pos:R:3 pbc="T T T"
Mg 2.061 0.473 5.120
Co 3.092 0.710 7.681
W 1.031 0.237 2.560
Sn 0.000 0.000 0.000
```

Output
**Symmetry**: F-43m
**Magnetization**: 2.169 μB/cell
**Total DFT energy (no corrections)**: -5.85 eV/atom

(3)
This record from OQMD via LeMat-Bulk describes an optimized crystal structure of MgZnCoSn. The functional is PBE.

The structure in extended XYZ format:
```
4
Lattice="0.000 3.175 3.175 3.175 0.000 3.175 3.175 3.175 0.000" Properties=species:S:1:pos:R:3 pbc="T T T"
Zn 4.762 4.762 4.762
Mg 3.175 3.175 3.175
Sn 1.587 1.587 1.587
Co 0.000 0.000 0.000
```

Output
**Symmetry**: F-43m
**Magnetization**: 0.001 μB/cell
**Total DFT energy (no corrections)**: -3.40 eV/atom

(4)
This record from OQMD via LeMat-Bulk describes an optimized crystal structure of SrMgTaCo. The functional is PBE.

The structure in extended XYZ format:
```
4
Lattice="0.000 3.387 3.387 3.387 0.000 3.387 3.387 3.387 0.000" Properties=species:S:1:pos:R:3 pbc="T T T"
Co 3.387 3.387 3.387
Ta 1.694 1.694 1.694
Mg 5.081 5.081 5.081
Sr 0.000 0.000 0.000
```

Output
**Symmetry**: F-43m
**Magnetization**: 0.000 μB/cell
**Total DFT energy (no corrections)**: -4.75 eV/atom